No. 1
VASP calculation (PBE) on a geometry-optimized BeFeN2 structure.

extended XYZ file:
```
4
Lattice="1.2882 0.7438 5.7571 -1.2882 0.7438 5.7571 0.0000 -1.4875 5.7571" Properties=species:S:1:pos:R:3 pbc="T T T"
Be 0.0000 0.0000 0.0000
Fe 0.0000 0.0000 8.6357
N 0.0000 0.0000 6.8879
N 0.0000 0.0000 10.3835
```

Output
As for the uncorrected formation energy: 0.586 eV per atom. The space-group type is R-3m, No. 166. The total energy comes out at -6.62 eV/atom. As for the spin magnetization: 0.00 μB/f.u.

=====

No. 2
VASP calculation (PBE) on a geometry-optimized BeFe3N structure.

extended XYZ file:
```
5
Lattice="3.6806 0.0000 0.0000 0.0000 3.6806 0.0000 0.0000 0.0000 3.6806" Properties=species:S:1:pos:R:3 pbc="T T T"
Be 0.0000 0.0000 0.0000
Fe 0.0000 1.8403 1.8403
Fe 1.8403 0.0000 1.8403
Fe 1.8403 1.8403 0.0000
N 1.8403 1.8403 1.8403
```

Output
Its energy relative to the lowest polymorph listed for this composition is 0.000 eV per atom. As for the uncorrected formation energy: -0.079 eV per atom. The space-group type is Pm-3m, No. 221. The total energy comes out at -7.57 eV/atom. As for the spin magnetization: 3.93 μB/f.u.

=====

No. 3
VASP calculation (PBE) on a geometry-optimized BeFeN2 structure.

extended XYZ file:
```
8
Lattice="-2.0451 2.0451 4.1566 2.0451 -2.0451 4.1566 2.0451 2.0451 -4.1566" Properties=species:S:1:pos:R:3 pbc="T T T"
Be 0.0000 0.0000 0.0000
Be 0.0000 2.0451 2.0783
Fe 2.0451 0.0000 2.0783
Fe 0.0000 0.0000 4.1566
N 3.0676 0.9889 -1.0392
N 0.9889 1.0225 1.0392
N -1.0225 1.0562 3.1175
N 1.0562 1.0225 5.1958
```

Output
As for the uncorrected formation energy: -0.294 eV per atom. The space-group type is I-42d, No. 122. The total energy comes out at -7.50 eV/atom. As for the spin magnetization: 0.00 μB/f.u.

=====

No. 4
VASP calculation (PBE) on a geometry-optimized Be2FePN structure.

extended XYZ file:
```
5
Lattice="4.1337 0.0000 0.0000 0.0000 4.1337 0.0000 0.0000 0.0000 3.5128" Properties=species:S:1:pos:R:3 pbc="T T T"
Be 0.0000 2.0669 0.0000
Be 2.0669 0.0000 0.0000
Fe 0.0000 0.0000 1.7564
P 2.0669 2.0669 0.0000
N 2.0669 2.0669 1.7564
```

Output
As for the uncorrected formation energy: 1.132 eV per atom. The space-group type is P4/mmm, No. 123. The total energy comes out at -4.80 eV/atom. As for the spin magnetization: 3.21 μB/f.u.

=====

No. 5
VASP calculation (PBE) on a geometry-optimized Pa2BeFeN5 structure.

extended XYZ file:
```
18
Lattice="1.6227 -6.6760 0.0000 1.6227 6.6760 0.0000 0.0000 0.0000 8.9028" Properties=species:S:1:pos:R:3 pbc="T T T"
Pa 1.6227 5.0026 4.4514
Pa 1.6227 4.9926 0.8272
Pa 1.6227 -4.9926 5.2786
Pa 1.6227 -5.0026 0.0000
Be 1.6227 0.5299 2.3514
Be 1.6227 -0.5299 6.8028
Fe 1.6227 3.8929 7.1321
Fe 1.6227 -3.8929 2.6807
N 1.6227 5.9287 7.2771
N 1.6227 2.7289 3.9511
N 1.6227 2.7008 1.4443
N 1.6227 1.8672 7.1599
N 1.6227 0.0374 0.6524
N 1.6227 -0.0374 5.1037
N 1.6227 -1.8672 2.7085
N 1.6227 -2.7008 5.8957
N 1.6227 -2.7289 8.4025
N 1.6227 -5.9287 2.8257
```

Output
As for the uncorrected formation energy: -1.020 eV per atom. The space-group type is Cmc2_1, No. 36. The total energy comes out at -9.11 eV/atom. As for the spin magnetization: 0.95 μB/f.u.

=====

No. 6
VASP calculation (PBE) on a geometry-optimized BeFePbN2 structure.

extended XYZ file:
```
5
Lattice="4.2166 0.0000 0.0000 0.0000 4.2166 0.0000 0.0000 0.0000 4.5632" Properties=species:S:1:pos:R:3 pbc="T T T"
Be 0.0000 0.0000 0.0000
Fe 2.1083 2.1083 0.0000
Pb 0.0000 0.0000 2.2816
N 0.0000 2.1083 2.2816
N 2.1083 0.0000 2.2816
```

Output
As for the uncorrected formation energy: 2.755 eV per atom. The space-group type is P4/mmm, No. 123. The total energy comes out at -3.75 eV/atom. As for the spin magnetization: 0.06 μB/f.u.

=====

No. 7
VASP calculation (PBE) on a geometry-optimized Be2FePbN structure.

extended XYZ file:
```
5
Lattice="3.6271 0.0000 0.0000 0.0000 3.6271 0.0000 0.0000 0.0000 4.3742" Properties=species:S:1:pos:R:3 pbc="T T T"
Be 0.0000 1.8136 0.0000
Be 1.8136 0.0000 0.0000
Fe 0.0000 0.0000 2.1871
Pb 1.8136 1.8136 2.1871
N 0.0000 0.0000 0.0000
```

Output
Its energy relative to the lowest polymorph listed for this composition is 0.000 eV per atom. As for the uncorrected formation energy: 0.345 eV per atom. The space-group type is P4/mmm, No. 123. The total energy comes out at -5.24 eV/atom. As for the spin magnetization: 0.00 μB/f.u.

=====

No. 8
VASP calculation (PBE) on a geometry-optimized Be2FePbN structure.

extended XYZ file:
```
5
Lattice="4.4337 0.0000 0.0000 0.0000 4.4337 0.0000 0.0000 0.0000 3.4962" Properties=species:S:1:pos:R:3 pbc="T T T"
Be 0.0000 2.2169 0.0000
Be 2.2169 0.0000 0.0000
Fe 0.0000 0.0000 0.0000
Pb 2.2169 2.2169 1.7481
N 0.0000 0.0000 1.7481
```

Output
Its energy relative to the lowest polymorph listed for this composition is 0.291 eV per atom. As for the uncorrected formation energy: 0.637 eV per atom. The space-group type is P4/mmm, No. 123. The total energy comes out at -4.95 eV/atom. As for the spin magnetization: 0.00 μB/f.u.

=====

No. 9
VASP calculation (PBE) on a geometry-optimized BeFeS2N structure.

extended XYZ file:
```
5
Lattice="4.6119 0.0000 0.0000 0.0000 4.6119 0.0000 0.0000 0.0000 3.3523" Properties=species:S:1:pos:R:3 pbc="T T T"
Be 0.0000 0.0000 0.0000
Fe 2.3059 2.3059 1.6762
S 0.0000 2.3059 1.6762
S 2.3059 0.0000 1.6762
N 2.3059 2.3059 0.0000
```

Output
Its energy relative to the lowest polymorph listed for this composition is 0.000 eV per atom. As for the uncorrected formation energy: 0.607 eV per atom. The space-group type is P4/mmm, No. 123. The total energy comes out at -5.15 eV/atom. As for the spin magnetization: 0.76 μB/f.u.

=====

No. 10
VASP calculation (PBE) on a geometry-optimized BeFeS2N structure.

extended XYZ file:
```
5
Lattice="4.4633 0.0000 0.0000 0.0000 4.4633 0.0000 0.0000 0.0000 3.0432" Properties=species:S:1:pos:R:3 pbc="T T T"
Be 0.0000 0.0000 0.0000
Fe 2.2316 2.2316 1.5216
S 0.0000 2.2316 0.0000
S 2.2316 0.0000 0.0000
N 0.0000 0.0000 1.5216
```

Output
Its energy relative to the lowest polymorph listed for this composition is 0.236 eV per atom. As for the uncorrected formation energy: 0.843 eV per atom. The space-group type is P4/mmm, No. 123. The total energy comes out at -4.91 eV/atom. As for the spin magnetization: 0.12 μB/f.u.

=====

No. 11
VASP calculation (PBE) on a geometry-optimized Be2FeTeN structure.

extended XYZ file:
```
5
Lattice="4.5875 0.0000 0.0000 0.0000 4.5875 0.0000 0.0000 0.0000 4.7556" Properties=species:S:1:pos:R:3 pbc="T T T"
Be 0.0000 2.2938 0.0000
Be 2.2938 0.0000 0.0000
Fe 0.0000 0.0000 2.3778
Te 0.0000 0.0000 0.0000
N 2.2938 2.2938 2.3778
```

Output
As for the uncorrected formation energy: 2.175 eV per atom. The space-group type is P4/mmm, No. 123. The total energy comes out at -3.30 eV/atom. As for the spin magnetization: 3.09 μB/f.u.

=====

No. 12
VASP calculation (PBE) on a geometry-optimized NaBeFe3 structure.

extended XYZ file:
```
5
Lattice="4.1191 0.0000 0.0000 0.0000 4.1191 0.0000 0.0000 0.0000 4.1191" Properties=species:S:1:pos:R:3 pbc="T T T"
Na 0.0000 0.0000 0.0000
Be 2.0596 2.0596 2.0596
Fe 0.0000 2.0596 2.0596
Fe 2.0596 0.0000 2.0596
Fe 2.0596 2.0596 0.0000
```

Output
Its energy relative to the lowest polymorph listed for this composition is 0.000 eV per atom. The space-group type is Pm-3m, No. 221. The formation energy is 0.773 eV per atom. The total energy comes out at -5.31 eV/atom. As for the spin magnetization: 7.00 μB/f.u.